Crystalline Pu2CuAg3 at its relaxed geometry, computed with PBE.

The structure in POSCAR format:
```
Pu2CuAg3
1.0
-3.550 -0.883 4.266
5.250 -1.988 0.256
2.758 7.787 3.906
Ag Cu Pu
6 2 4
direct
0.834 0.668 0.750
0.166 0.332 0.250
0.332 0.166 0.750
0.668 0.834 0.250
0.166 0.834 0.250
0.834 0.166 0.750
0.000 0.000 0.000
0.000 0.000 0.500
0.333 0.667 0.945
0.667 0.333 0.445
0.667 0.333 0.055
0.333 0.667 0.555
```

Results
N(E_F) (states/eV/cell): 36.323
Mass density (Mg/m³): 11.6
Space-group type: P6_3/mmc, No. 194
Uncorrected energy (eV/atom): -6.86
Energy of formation (meV per atom): 28.8